# HRhO2 (PBE-GGA, optimized geometry)
data_HRhO2
_cell_length_a 3.551
_cell_length_b 3.551
_cell_length_c 3.551
_cell_angle_alpha 60.00
_cell_angle_beta 60.00
_cell_angle_gamma 60.00
_space_group_name_H-M_alt 'P 1'
_space_group_IT_number 1
_space_group_name_Hall 'P 1'
loop_
_atom_site_label
_atom_site_fract_x
_atom_site_fract_y
_atom_site_fract_z
H1 0.000 0.000 0.000
Rh1 0.500 0.500 0.500
O1 0.250 0.250 0.250
O2 0.750 0.750 0.750
# - Space-group type: Fm-3m, No. 225
# - Total DFT energy (no corrections): -0.1807 hartree per atom

***

# SrCaSc2 (PBE-GGA, optimized geometry)
data_SrCaSc2
_cell_length_a 6.910
_cell_length_b 6.910
_cell_length_c 6.910
_cell_angle_alpha 148.21
_cell_angle_beta 128.20
_cell_angle_gamma 62.07
_space_group_name_H-M_alt 'P 1'
_space_group_IT_number 1
_space_group_name_Hall 'P 1'
loop_
_atom_site_label
_atom_site_fract_x
_atom_site_fract_y
_atom_site_fract_z
Sr1 0.000 0.000 0.000
Ca1 0.280 0.780 0.500
Sc1 0.531 0.531 0.000
Sc2 0.737 0.237 0.500
# - Space-group type: Imm2, No. 44
# - Energy relative to the elements: 1.1 eV per formula unit
# - Excess energy over the best structure of this formula in the dataset: 121 meV/atom

***

# NbCuSi (PBE-GGA, optimized geometry)
data_NbCuSi
_cell_length_a 5.192
_cell_length_b 5.192
_cell_length_c 2.820
_cell_angle_alpha 102.67
_cell_angle_beta 102.67
_cell_angle_gamma 135.13
_space_group_name_H-M_alt 'P 1'
_space_group_IT_number 1
_space_group_name_Hall 'P 1'
loop_
_atom_site_label
_atom_site_fract_x
_atom_site_fract_y
_atom_site_fract_z
Nb1 0.000 0.000 0.000
Cu1 0.312 0.688 0.000
Si1 0.683 0.317 0.000
# - Space-group type: C2, No. 5
# - Formation energy without anion corrections: -2.41 kcal/mol of atoms

***

# ZrTl3S (PBE-GGA, optimized geometry)
data_ZrTl3S
_cell_length_a 5.716
_cell_length_b 5.716
_cell_length_c 5.716
_cell_angle_alpha 90.00
_cell_angle_beta 90.00
_cell_angle_gamma 90.00
_space_group_name_H-M_alt 'P 1'
_space_group_IT_number 1
_space_group_name_Hall 'P 1'
loop_
_atom_site_label
_atom_site_fract_x
_atom_site_fract_y
_atom_site_fract_z
Zr1 0.000 0.000 0.000
Tl1 0.000 0.000 0.500
Tl2 0.000 0.500 0.000
Tl3 0.500 0.000 0.000
S1 0.500 0.500 0.500
# - Space-group type: Pm-3m, No. 221
# - Formation energy without anion corrections: 17.18 kcal/mol of atoms
# - Excess energy over the best structure of this formula in the dataset: 25 meV/atom

***

# YHf (PBE-GGA, optimized geometry)
data_YHf
_cell_length_a 7.431
_cell_length_b 7.241
_cell_length_c 6.157
_cell_angle_alpha 66.80
_cell_angle_beta 63.59
_cell_angle_gamma 49.60
_space_group_name_H-M_alt 'P 1'
_space_group_IT_number 1
_space_group_name_Hall 'P 1'
loop_
_atom_site_label
_atom_site_fract_x
_atom_site_fract_y
_atom_site_fract_z
Y1 0.051 0.699 0.051
Y2 0.301 0.949 0.301
Y3 0.699 0.051 0.699
Y4 0.949 0.301 0.949
Hf1 0.214 0.536 0.536
Hf2 0.464 0.786 0.786
Hf3 0.536 0.214 0.214
Hf4 0.786 0.464 0.464
# - Space-group type: Fddd, No. 70
# - Energy relative to the elements: 1.1 eV per formula unit

***

# Al2SiPt5 (PBE-GGA, optimized geometry)
data_Al2SiPt5
_cell_length_a 5.497
_cell_length_b 10.783
_cell_length_c 4.001
_cell_angle_alpha 90.00
_cell_angle_beta 90.00
_cell_angle_gamma 90.00
_space_group_name_H-M_alt 'P 1'
_space_group_IT_number 1
_space_group_name_Hall 'P 1'
loop_
_atom_site_label
_atom_site_fract_x
_atom_site_fract_y
_atom_site_fract_z
Al1 0.152 0.149 0.000
Al2 0.348 0.649 0.000
Al3 0.652 0.351 0.000
Al4 0.848 0.851 0.000
Si1 0.000 0.500 0.500
Si2 0.500 0.000 0.500
Pt1 0.000 0.000 0.500
Pt2 0.081 0.722 0.500
Pt3 0.193 0.403 0.000
Pt4 0.307 0.903 0.000
Pt5 0.419 0.222 0.500
Pt6 0.500 0.500 0.500
Pt7 0.581 0.778 0.500
Pt8 0.693 0.097 0.000
Pt9 0.807 0.597 0.000
Pt10 0.919 0.278 0.500
# - Space-group type: Pbam, No. 55
# - Formation energy without anion corrections: -18.69 kcal/mol of atoms

***

# BiPdAu (PBE-GGA, optimized geometry)
data_BiPdAu
_cell_length_a 5.194
_cell_length_b 5.194
_cell_length_c 5.194
_cell_angle_alpha 138.15
_cell_angle_beta 138.15
_cell_angle_gamma 60.67
_space_group_name_H-M_alt 'P 1'
_space_group_IT_number 1
_space_group_name_Hall 'P 1'
loop_
_atom_site_label
_atom_site_fract_x
_atom_site_fract_y
_atom_site_fract_z
Bi1 0.000 0.000 0.000
Pd1 0.340 0.340 0.000
Au1 0.677 0.677 0.000
# - Space-group type: I4mm, No. 107
# - Energy relative to the elements: -0.4 eV per formula unit
# - Excess energy over the best structure of this formula in the dataset: 48 meV/atom

***

# TbPr3Ga3 (PBE-GGA, optimized geometry)
data_TbPr3Ga3
_cell_length_a 7.369
_cell_length_b 7.369
_cell_length_c 7.515
_cell_angle_alpha 90.68
_cell_angle_beta 90.68
_cell_angle_gamma 98.73
_space_group_name_H-M_alt 'P 1'
_space_group_IT_number 1
_space_group_name_Hall 'P 1'
loop_
_atom_site_label
_atom_site_fract_x
_atom_site_fract_y
_atom_site_fract_z
Tb1 0.224 0.224 0.381
Tb2 0.776 0.776 0.619
Pr1 0.162 0.162 0.864
Pr2 0.248 0.752 0.500
Pr3 0.313 0.687 0.000
Pr4 0.687 0.313 0.000
Pr5 0.752 0.248 0.500
Pr6 0.838 0.838 0.136
Ga1 0.004 0.492 0.239
Ga2 0.464 0.464 0.693
Ga3 0.492 0.004 0.239
Ga4 0.508 0.996 0.761
Ga5 0.536 0.536 0.307
Ga6 0.996 0.508 0.761
# - Space-group type: C2/m, No. 12
# - Energy relative to the elements: -2.4 eV per formula unit